# Li2MnCoO4 | Alexandria | PBE with a Hubbard U | optimized geometry
data_Li2MnCoO4
_chemical_formula_sum 'Li8 Mn4 Co4 O16'
_cell_length_a 4.981
_cell_length_b 2.870
_cell_length_c 19.189
_cell_angle_alpha 90.00
_cell_angle_beta 95.06
_cell_angle_gamma 90.00
_symmetry_space_group_name_H-M 'C 1 2/m 1'
_symmetry_Int_Tables_number 12
_symmetry_space_group_name_Hall '-C 2y'
loop_
_atom_site_label
_atom_site_fract_x
_atom_site_fract_y
_atom_site_fract_z
Li1 0.000 0.000 0.000
Li2 0.000 0.500 0.500
Li3 0.249 0.000 0.755
Mn1 0.125 0.000 0.373
Co1 0.125 0.500 0.877
O1 0.059 0.500 0.685
O2 0.060 0.000 0.176
O3 0.190 0.000 0.570
O4 0.190 0.500 0.069
# Final energy in eV/cell: -190.24
# Excess energy over the best structure of this formula in the dataset in meV per atom: 194